Crystalline LiSiAu6 at its relaxed geometry, computed with PBE-GGA.

Computed properties:
Volume, Å³ per cell: 133.37
DFT total energy, eV per atom: -3.526
Energy above the lowest structure with this stoichiometry, eV/f.u.: 0.00
Formation energy without anion corrections, kJ/mol of atoms: -14.6

Structure (extended XYZ):
```
8
Lattice="0.510 0.191 4.335 3.451 -2.665 -0.292 6.208 4.278 1.306" Properties=species:S:1:pos:R:3 pbc="T T T"
Li 1.980 -1.237 2.022
Si 0.000 0.000 0.000
Au 6.070 0.276 3.688
Au 5.552 3.181 3.631
Au 7.022 1.753 1.317
Au 4.617 -1.376 1.720
Au 4.099 1.529 1.662
Au 3.146 0.052 4.033
```


Crystalline LiSi4Au at its relaxed geometry, computed with PBE-GGA.

Computed properties:
Volume, Å³ per cell: 96.89
DFT total energy, eV per atom: -4.214
Formation energy without anion corrections, kJ/mol of atoms: 25.7

Structure (extended XYZ):
```
6
Lattice="0.000 3.645 3.645 3.645 0.000 3.645 3.645 3.645 0.000" Properties=species:S:1:pos:R:3 pbc="T T T"
Li 0.000 0.000 0.000
Si 2.732 4.559 4.559
Si 4.559 4.559 2.732
Si 4.559 2.732 4.559
Si 2.732 2.732 2.732
Au 5.468 5.468 5.468
```